Entry 1:
Computed, not measured: crystalline Hg2SbAuSe at its relaxed geometry at the PBE level of DFT.

Cell: 5.446 5.446 4.927 Å, 90.00 90.00 90.00°
Positions (direct):
Hg 0.000 0.500 0.000
Hg 0.500 0.000 0.000
Sb 0.000 0.000 0.500
Au 0.500 0.500 0.500
Se 0.500 0.500 0.000

Size of the total moment, μB/cell: 0.00
Uncorrected formation energy, eV/atom: 0.4993
Theoretical density, g/cm3: 9.1


Entry 2:
Computed, not measured: crystalline SnHgSbAu2 at its relaxed geometry at the PBE level of DFT.

Cell: 6.664 6.664 10.490 Å, 117.59 117.59 38.71°
Positions (direct):
Sn 0.139 0.139 0.371
Sn 0.861 0.861 0.629
Hg 0.413 0.413 0.343
Hg 0.587 0.587 0.657
Sb 0.376 0.376 0.983
Sb 0.624 0.624 0.017
Au 0.106 0.106 0.851
Au 0.248 0.248 0.678
Au 0.752 0.752 0.322
Au 0.894 0.894 0.149

Size of the total moment, μB/cell: 0.00
Uncorrected formation energy, eV/atom: -0.0695
Theoretical density, g/cm3: 10.9


Entry 3:
Computed, not measured: crystalline Sn2HgSbAu4 at its relaxed geometry at the PBE level of DFT.

Cell: 7.035 5.765 7.045 Å, 65.74 48.34 65.92°
Positions (direct):
Sn 0.000 0.000 0.500
Sn 0.500 0.500 0.000
Hg 0.252 0.252 0.748
Sb 0.750 0.750 0.250
Au 0.250 0.752 0.750
Au 0.501 0.999 0.001
Au 0.752 0.250 0.248
Au 0.999 0.501 0.499

Size of the total moment, μB/cell: 0.00
Uncorrected formation energy, eV/atom: -0.0449
Theoretical density, g/cm3: 11.7


Entry 4:
Computed, not measured: crystalline Sn2HgSb2Au7 at its relaxed geometry at the PBE level of DFT.

Cell: 4.121 4.121 17.052 Å, 96.89 96.89 89.98°
Positions (direct):
Sn 0.115 0.115 0.248
Sn 0.885 0.885 0.752
Hg 0.500 0.500 0.000
Sb 0.289 0.289 0.572
Sb 0.711 0.711 0.428
Au 0.000 0.000 0.000
Au 0.061 0.561 0.137
Au 0.202 0.202 0.409
Au 0.439 0.939 0.863
Au 0.561 0.061 0.137
Au 0.798 0.798 0.591
Au 0.939 0.439 0.863

Size of the total moment, μB/cell: 0.00
Uncorrected formation energy, eV/atom: -0.0155
Theoretical density, g/cm3: 12.0